Record 1
{
  "formula": "Co5Tc",
  "functional": "GGA-PBEsol",
  "state": "relaxed",
  "lattice_angstrom": [[4.5318, -1.2567, 0.0000], [4.5318, 1.2567, 0.0000], [-1.4589, 0.0000, 5.6874]],
  "species": ["Co", "Co", "Co", "Co", "Co", "Tc"],
  "fractional_positions": [[0.0000, 0.0000, 0.0000], [0.0556, 0.0556, 0.5987], [0.3390, 0.3390, 0.6573], [0.3948, 0.3948, 0.2780], [0.6717, 0.6717, 0.3323], [0.7233, 0.7233, 0.9375]],
  "ef_ev_per_atom": 0.0563,
  "de_polymorph_mev_per_atom": 31.0,
  "e_tot_ev_per_atom": -8.2690,
  "dos_at_fermi_per_ev_atom": 1.16
}

Record 2
{
  "formula": "CaMg3Cu",
  "functional": "GGA-PBEsol",
  "state": "relaxed",
  "lattice_angstrom": [[3.4649, -6.0153, 0.0000], [3.4649, 6.0153, 0.0000], [0.0000, 0.0000, 5.4710]],
  "species": ["Ca", "Ca", "Mg", "Mg", "Mg", "Mg", "Mg", "Mg", "Cu", "Cu"],
  "fractional_positions": [[0.1640, 0.8360, 0.7500], [0.8360, 0.1640, 0.2500], [0.1366, 0.3224, 0.7500], [0.3181, 0.6819, 0.2500], [0.3224, 0.1366, 0.2500], [0.6776, 0.8634, 0.7500], [0.6819, 0.3181, 0.7500], [0.8634, 0.6776, 0.2500], [0.5000, 0.5000, 0.0000], [0.5000, 0.5000, 0.5000]],
  "ef_ev_per_atom": -0.0163,
  "de_polymorph_mev_per_atom": 0.0,
  "e_tot_ev_per_atom": -2.3400,
  "dos_at_fermi_per_ev_atom": 0.64
}

Record 3
{
  "formula": "ZrPb2Br",
  "functional": "GGA-PBEsol",
  "state": "relaxed",
  "lattice_angstrom": [[5.8494, -1.6622, 0.0000], [5.8494, 1.6622, 0.0000], [-2.0072, 0.0000, 5.3760]],
  "species": ["Zr", "Pb", "Pb", "Br"],
  "fractional_positions": [[0.0000, 0.0000, 0.0000], [0.5784, 0.5784, 0.4777], [0.7371, 0.7371, 0.0586], [0.3600, 0.3600, 0.6481]],
  "de_polymorph_mev_per_atom": 0.0,
  "e_tot_ev_per_atom": -5.0489,
  "formation_energy_uncorrected_ev_per_atom": -0.310,
  "dos_at_fermi_per_ev_atom": 0.38
}

Record 4
{
  "formula": "CoSiTcPb2",
  "functional": "GGA-PBEsol",
  "state": "relaxed",
  "lattice_angstrom": [[5.2332, 0.0000, 0.0000], [0.0000, 5.2332, 0.0000], [0.0000, 0.0000, 4.5447]],
  "species": ["Co", "Si", "Tc", "Pb", "Pb"],
  "fractional_positions": [[0.0000, 0.0000, 0.0000], [0.5000, 0.5000, 0.0000], [0.5000, 0.5000, 0.5000], [0.0000, 0.5000, 0.5000], [0.5000, 0.0000, 0.5000]],
  "e_tot_ev_per_atom": -5.5195,
  "formation_energy_uncorrected_ev_per_atom": 1.030,
  "dos_at_fermi_per_ev_atom": 1.08
}

Record 5
{
  "formula": "Fe9Cu9S16",
  "functional": "GGA-PBEsol",
  "state": "relaxed",
  "lattice_angstrom": [[10.2657, 0.0000, 0.0000], [0.0000, 10.2657, 0.0000], [0.0000, 0.0000, 5.1727]],
  "species": ["Fe", "Fe", "Fe", "Fe", "Fe", "Fe", "Fe", "Fe", "Fe", "Cu", "Cu", "Cu", "Cu", "Cu", "Cu", "Cu", "Cu", "Cu", "S", "S", "S", "S", "S", "S", "S", "S", "S", "S", "S", "S", "S", "S", "S", "S"],
  "fractional_positions": [[0.0000, 0.0000, 0.0000], [0.0000, 0.0000, 0.5000], [0.0000, 0.5000, 0.0000], [0.2505, 0.5000, 0.5000], [0.5000, 0.0000, 0.0000], [0.5000, 0.2505, 0.5000], [0.5000, 0.5000, 0.5000], [0.5000, 0.7495, 0.5000], [0.7495, 0.5000, 0.5000], [0.0000, 0.2559, 0.5000], [0.0000, 0.7441, 0.5000], [0.2510, 0.2510, 0.9791], [0.2510, 0.7490, 0.0209], [0.2559, 0.0000, 0.5000], [0.5000, 0.5000, 0.0000], [0.7441, 0.0000, 0.5000], [0.7490, 0.2510, 0.0209], [0.7490, 0.7490, 0.9791], [0.1232, 0.1232, 0.2433], [0.1232, 0.8768, 0.7567], [0.1256, 0.3838, 0.7510], [0.1256, 0.6162, 0.2490], [0.3726, 0.3726, 0.2625], [0.3726, 0.6274, 0.7375], [0.3838, 0.1256, 0.7510], [0.3838, 0.8744, 0.2490], [0.6162, 0.1256, 0.2490], [0.6162, 0.8744, 0.7510], [0.6274, 0.3726, 0.7375], [0.6274, 0.6274, 0.2625], [0.8744, 0.3838, 0.2490], [0.8744, 0.6162, 0.7510], [0.8768, 0.1232, 0.7567], [0.8768, 0.8768, 0.2433]],
  "e_tot_ev_per_atom": -5.9231,
  "formation_energy_uncorrected_ev_per_atom": -0.340,
  "dos_at_fermi_per_ev_atom": 0.56
}

Record 6
{
  "formula": "Zn3Ag",
  "functional": "GGA-PBEsol",
  "state": "relaxed",
  "lattice_angstrom": [[4.5447, -1.3981, 0.0000], [4.5447, 1.3981, 0.0000], [-0.8665, 0.0000, 4.5753]],
  "species": ["Zn", "Zn", "Zn", "Ag"],
  "fractional_positions": [[0.0000, 0.0000, 0.0000], [0.2528, 0.2528, 0.7563], [0.7472, 0.7472, 0.2437], [0.5000, 0.5000, 0.5000]],
  "ef_ev_per_atom": -0.0210,
  "e_tot_ev_per_atom": -2.0353,
  "dos_at_fermi_per_ev_atom": 0.25
}

Record 7
{
  "formula": "FePC2",
  "functional": "GGA-PBEsol",
  "state": "relaxed",
  "lattice_angstrom": [[-2.1806, 2.1806, 4.0068], [2.1806, -2.1806, 4.0068], [2.1806, 2.1806, -4.0068]],
  "species": ["Fe", "Fe", "P", "P", "C", "C", "C", "C"],
  "fractional_positions": [[0.0000, 0.0000, 0.0000], [0.7500, 0.2500, 0.5000], [0.2500, 0.7500, 0.5000], [0.5000, 0.5000, 0.0000], [0.1452, 0.1250, 0.5202], [0.3750, 0.8548, 0.9798], [0.6048, 0.6250, 0.4798], [0.8750, 0.3952, 0.0202]],
  "ef_ev_per_atom": 0.4221,
  "e_tot_ev_per_atom": -8.0885,
  "dos_at_fermi_per_ev_atom": 0.69
}

Record 8
{
  "formula": "TaAl4Ni",
  "functional": "GGA-PBEsol",
  "state": "relaxed",
  "lattice_angstrom": [[0.0000, 3.5570, 3.5570], [3.5570, 0.0000, 3.5570], [3.5570, 3.5570, 0.0000]],
  "species": ["Ta", "Al", "Al", "Al", "Al", "Ni"],
  "fractional_positions": [[0.0000, 0.0000, 0.0000], [0.1247, 0.6251, 0.6251], [0.6251, 0.1247, 0.6251], [0.6251, 0.6251, 0.1247], [0.6251, 0.6251, 0.6251], [0.2500, 0.2500, 0.2500]],
  "ef_ev_per_atom": 0.1432,
  "e_tot_ev_per_atom": -5.7026,
  "dos_at_fermi_per_ev_atom": 0.86
}

Record 9
{
  "formula": "LaNi2Au2",
  "functional": "GGA-PBEsol",
  "state": "relaxed",
  "lattice_angstrom": [[-2.0065, 2.0065, 5.7157], [2.0065, -2.0065, 5.7157], [2.0065, 2.0065, -5.7157]],
  "species": ["La", "Ni", "Ni", "Au", "Au"],
  "fractional_positions": [[0.0000, 0.0000, 0.0000], [0.2500, 0.7500, 0.5000], [0.7500, 0.2500, 0.5000], [0.3833, 0.3833, 0.0000], [0.6167, 0.6167, 0.0000]],
  "ef_ev_per_atom": -0.2585,
  "e_tot_ev_per_atom": -5.3604,
  "dos_at_fermi_per_ev_atom": 0.69
}

Record 10
{
  "formula": "LiCaHfBi2",
  "functional": "GGA-PBEsol",
  "state": "relaxed",
  "lattice_angstrom": [[5.1392, 0.0000, 0.0000], [0.0000, 5.1392, 0.0000], [0.0000, 0.0000, 4.8923]],
  "species": ["Li", "Ca", "Hf", "Bi", "Bi"],
  "fractional_positions": [[0.0000, 0.0000, 0.0000], [0.5000, 0.5000, 0.5000], [0.0000, 0.0000, 0.5000], [0.0000, 0.5000, 0.0000], [0.5000, 0.0000, 0.0000]],
  "ef_ev_per_atom": 0.2447,
  "e_tot_ev_per_atom": -4.3901,
  "dos_at_fermi_per_ev_atom": 0.92
}

Record 11
{
  "formula": "Y2ZnFe",
  "functional": "GGA-PBEsol",
  "state": "relaxed",
  "lattice_angstrom": [[-2.0850, 2.0850, 4.5697], [2.0850, -2.0850, 4.5697], [2.0850, 2.0850, -4.5697]],
  "species": ["Y", "Y", "Zn", "Fe"],
  "fractional_positions": [[0.0000, 0.0000, 0.0000], [0.7500, 0.2500, 0.5000], [0.5000, 0.5000, 0.0000], [0.2500, 0.7500, 0.5000]],
  "ef_ev_per_atom": 0.1323,
  "e_tot_ev_per_atom": -5.9151,
  "dos_at_fermi_per_ev_atom": 0.96
}

Record 12
{
  "formula": "SiGeAs2W",
  "functional": "GGA-PBEsol",
  "state": "relaxed",
  "lattice_angstrom": [[4.6546, 0.0000, 0.0000], [0.0000, 4.6546, 0.0000], [0.0000, 0.0000, 4.6831]],
  "species": ["Si", "Ge", "As", "As", "W"],
  "fractional_positions": [[0.0000, 0.0000, 0.0000], [0.5000, 0.5000, 0.5000], [0.0000, 0.5000, 0.0000], [0.5000, 0.0000, 0.0000], [0.0000, 0.0000, 0.5000]],
  "e_tot_ev_per_atom": -5.6841,
  "formation_energy_uncorrected_ev_per_atom": 1.257,
  "dos_at_fermi_per_ev_atom": 0.79
}